[1]
Here is a geometry-optimized MnPCl2 structure from the Alexandria database. Energies are from GGA-PBE.

As for the uncorrected formation energy: -0.31 eV per atom. The volume is 23.15 A^3/atom. The calculation puts the relative energy among the computed polymorphs at 228 meV/atom.

a b c (Å): 7.8270 7.8270 3.6609
angles (deg): 91.65 91.65 24.40
With the nearest neighbours (Å) after each atom.
Fractional positions:
P1 0.2500 0.2500 0.2500  2 Cl 2.31, 4 Mn 2.47
Cl1 0.1108 0.1108 0.9873  1 P 2.31
Cl2 0.3892 0.3892 0.5127  1 P 2.31
Mn1 0.7500 0.7500 0.7500  4 P 2.47



[2]
Here is a geometry-optimized MnPCl2 structure from the Alexandria database. Energies are from GGA-PBE.

As for the uncorrected formation energy: -0.44 eV per atom. The volume is 23.27 A^3/atom. The calculation puts the relative energy among the computed polymorphs at 95 meV/atom.

a b c (Å): 3.4103 3.4103 8.0039
angles (deg): 90.00 90.00 90.00
With the nearest neighbours (Å) after each atom.
Fractional positions:
Cl1 0.0000 0.0000 0.9351  1 Mn 2.17
Cl2 0.5000 0.5000 0.3224  1 P 2.05
P1 0.5000 0.5000 0.5782  1 Cl 2.05
Mn1 0.0000 0.0000 0.6643  1 Cl 2.17



[3]
Here is a geometry-optimized Mn2PCl structure from the Alexandria database. Energies are from GGA-PBE.

As for the uncorrected formation energy: -0.40 eV per atom. The volume is 18.75 A^3/atom. The calculation puts the relative energy among the computed polymorphs at 0 meV/atom.

a b c (Å): 3.7454 3.7454 6.5510
angles (deg): 106.81 106.81 59.97
With the nearest neighbours (Å) after each atom.
Fractional positions:
Cl1 0.2500 0.2500 0.2500  2 Mn 2.30
Mn1 0.1265 0.1265 0.8781  1 Cl 2.30, 3 P 2.30
Mn2 0.3735 0.3735 0.6219  1 Cl 2.30, 3 P 2.30
P1 0.7500 0.7500 0.7500  6 Mn 2.30



[4]
Here is a geometry-optimized MnPCl2 structure from the Alexandria database. Energies are from GGA-PBE.

As for the uncorrected formation energy: -0.05 eV per atom. The volume is 25.37 A^3/atom. The calculation puts the relative energy among the computed polymorphs at 488 meV/atom.

a b c (Å): 10.1615 10.1615 10.1615
angles (deg): 19.43 19.43 19.43
With the nearest neighbours (Å) after each atom.
Fractional positions:
P1 0.7500 0.7500 0.7500  6 P 3.43
Cl1 0.9674 0.9674 0.9674  3 Mn 2.49
Cl2 0.5326 0.5326 0.5326  3 Mn 2.49
Mn1 0.2500 0.2500 0.2500  6 Cl 2.49



[5]
Here is a geometry-optimized Mn2PCl structure from the Alexandria database. Energies are from GGA-PBE.

As for the uncorrected formation energy: -0.13 eV per atom. The volume is 17.38 A^3/atom. The calculation puts the relative energy among the computed polymorphs at 271 meV/atom.

a b c (Å): 5.2229 3.6540 3.6418
angles (deg): 90.00 90.00 90.00
With the nearest neighbours (Å) after each atom.
Fractional positions:
Cl1 0.5000 0.8750 0.8742  6 Mn 2.58-2.61
Mn1 0.0000 0.8749 0.8759  4 P 2.58, 2 Cl 2.61
Mn2 0.5000 0.3751 0.3745  4 Cl 2.58, 2 P 2.61
P1 0.0000 0.3750 0.3755  6 Mn 2.58-2.61



[6]
Here is a geometry-optimized MnP2PdCl structure from the Alexandria database. Energies are from GGA-PBE.

As for the uncorrected formation energy: 0.41 eV per atom. The volume is 17.90 A^3/atom. The calculation puts the relative energy among the computed polymorphs at 0 meV/atom.

a b c (Å): 4.2484 4.2484 4.9580
angles (deg): 90.00 90.00 90.00
With the nearest neighbours (Å) after each atom.
Fractional positions:
P1 0.5000 0.0000 0.0000  2 Mn 2.12
P2 0.0000 0.5000 0.0000  2 Mn 2.12
Pd1 0.5000 0.5000 0.5000  4 Cl 3.00, 8 P 3.26
Mn1 0.0000 0.0000 0.0000  4 P 2.12
Cl1 0.0000 0.0000 0.5000  2 Mn 2.48



[7]
Here is a geometry-optimized MnP2PdCl structure from the Alexandria database. Energies are from GGA-PBE.

As for the uncorrected formation energy: 0.64 eV per atom. The volume is 21.53 A^3/atom. The calculation puts the relative energy among the computed polymorphs at 228 meV/atom.

a b c (Å): 4.6582 4.6582 4.9609
angles (deg): 90.00 90.00 90.00
With the nearest neighbours (Å) after each atom.
Fractional positions:
Mn1 0.5000 0.5000 0.5000  4 Cl 3.29, 8 P 3.40
P1 0.0000 0.5000 0.0000  2 Pd 2.33
P2 0.5000 0.0000 0.0000  2 Pd 2.33
Pd1 0.0000 0.0000 0.0000  4 P 2.33, 2 Cl 2.48
Cl1 0.0000 0.0000 0.5000  2 Pd 2.48



[8]
Here is a geometry-optimized RbMnP2Cl structure from the Alexandria database. Energies are from GGA-PBE.

As for the uncorrected formation energy: -0.34 eV per atom. The volume is 25.98 A^3/atom. The calculation puts the relative energy among the computed polymorphs at 0 meV/atom.

a b c (Å): 4.4052 4.4052 6.6938
angles (deg): 90.00 90.00 90.00
With the nearest neighbours (Å) after each atom.
Fractional positions:
Cl1 0.0000 0.0000 0.5000  4 Rb 3.11, 2 Mn 3.35
Rb1 0.5000 0.5000 0.5000  4 Cl 3.11
P1 0.0000 0.5000 0.0000  2 Mn 2.20
P2 0.5000 0.0000 0.0000  2 Mn 2.20
Mn1 0.0000 0.0000 0.0000  4 P 2.20



[9]
Here is a geometry-optimized RbMnP2Cl structure from the Alexandria database. Energies are from GGA-PBE.

As for the uncorrected formation energy: 1.51 eV per atom. The volume is 33.16 A^3/atom. The calculation puts the relative energy among the computed polymorphs at 1849 meV/atom.

a b c (Å): 5.4617 5.4617 5.5578
angles (deg): 90.00 90.00 90.00
With the nearest neighbours (Å) after each atom.
Fractional positions:
Cl1 0.0000 0.0000 0.5000  2 Rb 2.78
Rb1 0.0000 0.0000 0.0000  4 P 2.73, 2 Cl 2.78
Mn1 0.5000 0.5000 0.5000  4 Cl 3.86, 8 P 3.90
P1 0.0000 0.5000 0.0000  2 Rb 2.73
P2 0.5000 0.0000 0.0000  2 Rb 2.73



[10]
Here is a geometry-optimized Rb2MnPCl6 structure from the Alexandria database. Energies are from GGA-PBE.

As for the uncorrected formation energy: -1.05 eV per atom. The volume is 25.77 A^3/atom.

a b c (Å): 7.5276 7.5276 7.0005
angles (deg): 57.48 57.48 90.00
With the nearest neighbours (Å) after each atom.
Fractional positions:
Rb1 0.2500 0.7500 0.5000  12 Cl 3.50-3.76
Rb2 0.7500 0.2500 0.5000  12 Cl 3.50-3.76
Cl1 0.7468 0.7468 0.5064  1 P 2.24, 1 Mn 2.30
Cl2 0.2392 0.7608 0.0000  1 Mn 2.55, 1 P 2.78
Cl3 0.2532 0.2532 0.4936  1 P 2.24, 1 Mn 2.30
Cl4 0.2392 0.2392 0.0000  1 Mn 2.55, 1 P 2.78
Cl5 0.7608 0.7608 0.0000  1 Mn 2.55, 1 P 2.78
Cl6 0.7608 0.2392 0.0000  1 Mn 2.55, 1 P 2.78
Mn1 0.0000 0.0000 0.0000  6 Cl 2.30-2.55
P1 0.5000 0.5000 0.0000  2 Cl 2.24



[11]
Here is a geometry-optimized MnReP2Cl structure from the Alexandria database. Energies are from GGA-PBE.

As for the uncorrected formation energy: 1.14 eV per atom. The volume is 18.32 A^3/atom. The calculation puts the relative energy among the computed polymorphs at 526 meV/atom.

a b c (Å): 4.5476 4.5476 4.4301
angles (deg): 90.00 90.00 90.00
With the nearest neighbours (Å) after each atom.
Fractional positions:
P1 0.5000 0.0000 0.0000  2 Mn 2.27
P2 0.0000 0.5000 0.0000  2 Mn 2.27
Mn1 0.0000 0.0000 0.0000  2 Cl 2.22, 4 P 2.27
Re1 0.5000 0.5000 0.5000  8 P 3.17, 4 Cl 3.22
Cl1 0.0000 0.0000 0.5000  2 Mn 2.22



[12]
Here is a geometry-optimized MnReP2Cl structure from the Alexandria database. Energies are from GGA-PBE.

As for the uncorrected formation energy: 0.61 eV per atom. The volume is 21.56 A^3/atom. The calculation puts the relative energy among the computed polymorphs at 0 meV/atom.

a b c (Å): 4.5572 4.5572 5.1906
angles (deg): 90.00 90.00 90.00
With the nearest neighbours (Å) after each atom.
Fractional positions:
Re1 0.0000 0.0000 0.0000  4 P 2.28
Cl1 0.0000 0.0000 0.5000  2 Re 2.60
P1 0.0000 0.5000 0.0000  2 Re 2.28
P2 0.5000 0.0000 0.0000  2 Re 2.28
Mn1 0.5000 0.5000 0.5000  4 Cl 3.22, 8 P 3.45



[13]
Here is a geometry-optimized MnP2RhCl structure from the Alexandria database. Energies are from GGA-PBE.

As for the uncorrected formation energy: 0.62 eV per atom. The volume is 17.19 A^3/atom. The calculation puts the relative energy among the computed polymorphs at 0 meV/atom.

a b c (Å): 4.2419 4.2419 4.7769
angles (deg): 90.00 90.00 90.00
With the nearest neighbours (Å) after each atom.
Fractional positions:
P1 0.0000 0.5000 0.0000  2 Mn 2.12
P2 0.5000 0.0000 0.0000  2 Mn 2.12
Mn1 0.0000 0.0000 0.0000  4 P 2.12
Cl1 0.0000 0.0000 0.5000  2 Mn 2.39
Rh1 0.5000 0.5000 0.5000  4 Cl 3.00, 8 P 3.19



[14]
Here is a geometry-optimized MnP2RhCl structure from the Alexandria database. Energies are from GGA-PBE.

As for the uncorrected formation energy: 1.04 eV per atom. The volume is 20.34 A^3/atom. The calculation puts the relative energy among the computed polymorphs at 418 meV/atom.

a b c (Å): 4.5285 4.5285 4.9602
angles (deg): 90.00 90.00 90.00
With the nearest neighbours (Å) after each atom.
Fractional positions:
Mn1 0.5000 0.5000 0.5000  4 Cl 3.20, 8 P 3.36
P1 0.0000 0.5000 0.0000  2 Rh 2.26
P2 0.5000 0.0000 0.0000  2 Rh 2.26
Rh1 0.0000 0.0000 0.0000  4 P 2.26, 2 Cl 2.48
Cl1 0.0000 0.0000 0.5000  2 Rh 2.48